[1]
Entry from the Alexandria database: Ge2BiI8 after structural relaxation (PBE).

Values from the calculation:
Total energy in eV/atom: -2.533
ΔE_f (raw) in kJ per mole of atoms: -21

a = 8.9361 Å, b = 8.9361 Å, c = 9.1014 Å
α = 90.00°, β = 90.00°, γ = 120.00°
Closest atoms and distances in Å follow each position.
Space group P-3m1 (No. 164)
Symmetry-distinct sites (fractional):
Ge 0.3333 0.6667 0.2912 x2  4 I 2.59-2.79
Bi 0.0000 0.0000 0.0000 x1  6 I 3.12
I 0.1602 0.3204 0.2073 x6  1 Ge 2.79, 1 Bi 3.12
I 0.3333 0.6667 0.5760 x2  1 Ge 2.59

***

[2]
Entry from the Alexandria database: Sc2FeMo after structural relaxation (PBE).

Values from the calculation:
Energy relative to the lowest polymorph listed for this composition in meV/atom: 229
Total energy in eV/atom: -7.734
DFT formation energy in eV per atom: 0.255

a = 5.8143 Å, b = 8.6147 Å, c = 2.8877 Å
α = 90.00°, β = 108.85°, γ = 90.00°
Closest atoms and distances in Å follow each position.
Space group C2/m (No. 12)
Symmetry-distinct sites (fractional):
Sc 0.2500 0.2500 0.0000 x4  2 Fe 2.73, 2 Mo 2.73, 4 Sc 2.89-2.91
Fe 0.0000 0.0000 0.5000 x2  4 Sc 2.73, 2 Fe 2.89, 2 Mo 2.91
Mo 0.0000 0.5000 0.5000 x2  4 Sc 2.73, 2 Mo 2.89, 2 Fe 2.91

***

Number 1: calculated volume 629 Å³/cell. Number 2: calculated volume 137 Å³/cell.